Entry from Alexandria: a relaxed structure of LaCrAu (PBE).

relative energy among the computed polymorphs: 154 meV/atom
energy of formation from the pure elements: 44 meV per atom
total DFT energy (no corrections): -17.70 eV per cell
total magnetization: 1.375 μB per atom

```
LaCrAu
1.0
0.000 3.460 3.460
3.460 0.000 3.460
3.460 3.460 0.000
La Cr Au
1 1 1
Cartesian
0.000 0.000 0.000
3.460 3.460 3.460
1.730 1.730 1.730
```